Entry 1:
Material: Ir3RuRh2
Method: DFT, PBE
State: relaxed

Structure (extended XYZ):
```
12
Lattice="2.723 0.000 0.000 0.000 7.696 -0.010 0.000 0.006 8.185" Properties=species:S:1:pos:R:3 pbc="T T T"
Ru 0.681 6.736 6.114
Ru 2.042 0.966 2.061
Rh 0.681 6.745 0.681
Rh 2.042 0.957 7.495
Rh 2.042 4.824 4.794
Rh 0.681 2.877 3.381
Ir 2.042 0.958 4.773
Ir 2.042 4.818 2.029
Ir 0.681 6.744 3.402
Ir 0.681 2.884 6.147
Ir 2.042 4.826 7.473
Ir 0.681 2.876 0.702
```

symmetry = P2_1/m (11)
E_form = -0.02 eV per atom

---

Entry 2:
Material: Tb2PmNd6Er3
Method: DFT, PBE
State: relaxed

Structure (extended XYZ):
```
12
Lattice="-3.906 2.285 4.351 5.556 -2.375 1.705 4.329 10.597 -3.183" Properties=species:S:1:pos:R:3 pbc="T T T"
Er 2.989 5.254 1.437
Er -0.163 6.807 2.318
Er 6.142 3.701 0.555
Tb -0.751 0.731 3.469
Tb 2.401 -0.821 2.588
Nd 2.331 2.607 3.745
Nd 3.647 7.900 -0.872
Nd 6.050 7.077 1.712
Nd 2.892 8.633 2.595
Nd -0.071 3.430 1.161
Nd 3.087 1.875 0.278
Pm 0.000 0.000 0.000
```

symmetry = C2/m (12)
E_form = 0.01 eV per atom

---

Entry 3:
Material: YZr2PaAs4
Method: DFT, PBE
State: relaxed

Structure (extended XYZ):
```
8
Lattice="4.002 0.000 0.000 0.000 6.870 -0.120 0.000 2.433 6.468" Properties=species:S:1:pos:R:3 pbc="T T T"
As 2.001 3.465 4.850
As 4.002 2.257 1.624
As 0.000 7.046 4.724
As 2.001 5.838 1.498
Pa 0.000 4.651 3.174
Zr 0.000 2.433 6.468
Zr 2.001 1.216 3.234
Y 2.001 3.435 -0.060
```

symmetry = P2/m (10)
E_form = -1.22 eV per atom

---

Entry 4:
Material: Ac3MgNi
Method: DFT, PBE
State: relaxed

Structure (extended XYZ):
```
10
Lattice="5.727 0.000 1.599 2.407 6.279 2.436 0.328 0.248 9.879" Properties=species:S:1:pos:R:3 pbc="T T T"
Ni 6.059 2.239 11.463
Ni 2.402 4.288 2.452
Mg 4.245 4.808 6.907
Mg 4.217 1.719 7.008
Ac 3.244 2.340 10.491
Ac 0.913 0.273 7.783
Ac 7.548 6.254 6.131
Ac 5.217 4.187 3.424
Ac 1.821 2.266 4.533
Ac 6.641 4.261 9.381
```

symmetry = C2/m (12)
E_form = -0.10 eV per atom

---

Entry 5:
Material: Tl3Ag3PbCl8
Method: DFT, PBE
State: relaxed

Structure (extended XYZ):
```
15
Lattice="-7.776 -1.871 2.082 5.855 0.472 5.889 -2.779 7.445 -3.686" Properties=species:S:1:pos:R:3 pbc="T T T"
Cl -4.914 4.091 1.726
Cl -1.028 5.068 0.716
Cl 1.814 5.316 3.615
Cl -1.949 4.410 4.622
Cl 0.215 1.955 2.559
Cl -6.513 0.730 0.670
Cl -3.672 0.978 3.568
Cl -2.750 1.636 -0.338
Tl 0.000 0.000 0.000
Tl -0.960 -0.699 3.986
Tl 2.927 0.236 2.945
Ag -2.350 3.023 2.142
Ag 1.538 3.959 1.102
Ag -5.277 2.787 -0.802
Pb -1.389 3.722 -1.843
```

formation energy without anion corrections = -0.79 eV/atom
symmetry = C2/m (12)

---

Entry 6:
Material: ScCuPbF6
Method: DFT, PBE
State: relaxed

Structure (extended XYZ):
```
18
Lattice="5.611 0.000 0.000 -2.805 4.859 0.000 0.000 0.000 10.641" Properties=species:S:1:pos:R:3 pbc="T T T"
F 3.679 3.062 3.820
F -0.812 4.717 6.821
F 1.685 3.204 6.821
F 1.932 3.062 1.501
F -0.873 1.797 6.821
F 3.618 0.142 3.820
F 1.120 1.655 3.820
F 0.873 1.797 9.141
F 4.491 1.655 1.501
F 1.993 0.142 1.501
F 0.812 4.717 9.141
F -1.685 3.204 9.141
Pb 0.000 0.000 0.000
Pb 0.000 0.000 5.321
Cu 0.000 3.239 2.660
Cu 2.805 1.620 7.981
Sc 0.000 3.239 7.981
Sc 2.805 1.620 2.660
```

formation energy without anion corrections = -2.72 eV/atom
symmetry = P-31c (163)

---

Entry 7:
Material: Pr4TlIr
Method: DFT, PBE
State: relaxed

Structure (extended XYZ):
```
12
Lattice="-1.349 5.775 2.031 -4.296 -6.545 4.953 8.187 0.124 0.816" Properties=species:S:1:pos:R:3 pbc="T T T"
Ir -0.317 1.443 0.524
Ir 2.860 -2.089 7.276
Tl 3.723 1.246 3.767
Tl -1.180 -1.892 4.032
Pr -3.389 0.046 5.914
Pr 1.322 -0.488 2.176
Pr 3.824 -2.637 4.391
Pr 1.221 -0.159 5.624
Pr 5.931 -0.693 1.885
Pr 1.759 3.192 1.855
Pr -1.282 1.991 3.408
Pr 0.784 -3.839 5.944
```

symmetry = C2/c (15)
E_form = -0.38 eV per atom

---

Entry 8:
Material: PmNd8Er4
Method: DFT, PBE
State: relaxed

Structure (extended XYZ):
```
13
Lattice="-6.660 -2.975 0.792 3.398 -0.289 -6.496 7.295 -6.195 4.092" Properties=species:S:1:pos:R:3 pbc="T T T"
Nd 1.460 -4.120 -3.196
Nd -0.517 -7.271 2.326
Nd -0.321 -3.372 -0.018
Nd 4.550 -2.188 -3.938
Nd 4.354 -6.087 -1.595
Nd 1.347 -7.430 -1.237
Nd 2.686 -2.029 -0.375
Nd 2.573 -5.339 1.584
Er 1.699 -0.145 -3.248
Er -3.330 -1.487 0.396
Er 0.000 0.000 0.000
Er -1.631 -1.632 -2.852
Pm 5.347 -3.242 -1.202
```

symmetry = R-3m (166)
E_form = 0.18 eV per atom

---

Entry 9:
Material: Pa2TcOs
Method: DFT, PBE
State: relaxed

Structure (extended XYZ):
```
4
Lattice="-3.121 2.883 2.377 -3.866 1.838 -2.319 -4.470 -1.608 1.066" Properties=species:S:1:pos:R:3 pbc="T T T"
Pa -8.592 2.335 0.843
Pa -2.864 0.778 0.281
Os -5.728 1.557 0.562
Tc 0.000 0.000 0.000
```

symmetry = Fm-3m (225)
E_form = -0.19 eV per atom

---

Entry 10:
Material: Li3Pr2CdGe4
Method: DFT, PBE
State: relaxed

Structure (extended XYZ):
```
10
Lattice="4.218 0.000 0.000 0.000 4.218 0.000 0.000 0.000 11.163" Properties=species:S:1:pos:R:3 pbc="T T T"
Li 2.109 0.000 9.741
Li 0.000 0.000 5.581
Li 0.000 2.109 1.422
Ge 2.109 2.109 0.000
Ge 0.000 0.000 0.000
Ge 0.000 2.109 3.856
Ge 2.109 0.000 7.307
Pr 0.000 2.109 8.517
Pr 2.109 0.000 2.646
Cd 2.109 2.109 5.581
```

symmetry = P-4m2 (115)
E_form = -0.54 eV per atom

---

Entry 11:
Material: Na4AcAu4
Method: DFT, PBE
State: relaxed

Structure (extended XYZ):
```
18
Lattice="5.886 0.000 0.000 0.000 9.537 0.000 0.000 0.000 9.537" Properties=species:S:1:pos:R:3 pbc="T T T"
Au 0.591 8.190 6.864
Au 2.352 6.115 7.441
Au 5.296 6.864 1.346
Au 2.352 3.422 2.095
Au 3.534 2.095 6.115
Au 0.591 1.346 2.673
Au 5.296 2.673 8.190
Au 3.534 7.441 3.422
Na 2.334 6.283 0.925
Na 5.277 5.693 8.022
Na 3.552 8.612 6.283
Na 5.277 3.844 1.515
Na 0.609 8.022 3.844
Na 3.552 0.925 3.254
Na 0.609 1.515 5.693
Na 2.334 3.254 8.612
Ac 0.000 0.000 0.000
Ac 2.943 4.768 4.768
```

symmetry = P4_2/n (86)
E_form = -0.27 eV per atom

---

Entry 12:
Material: Ti4CdNi
Method: DFT, PBE
State: relaxed

Structure (extended XYZ):
```
6
Lattice="2.933 0.000 0.000 0.000 2.933 0.000 0.000 0.000 11.643" Properties=species:S:1:pos:R:3 pbc="T T T"
Ti 0.000 0.000 4.229
Ti 0.000 0.000 7.413
Ti 1.466 1.466 2.331
Ti 1.466 1.466 9.312
Ni 1.466 1.466 5.821
Cd 0.000 0.000 0.000
```

symmetry = P4/mmm (123)
E_form = -0.18 eV per atom

---

Entry 13:
Material: AcTb3S
Method: DFT, PBE
State: relaxed

Structure (extended XYZ):
```
5
Lattice="-3.650 -3.746 -1.405 1.558 -3.083 4.171 -3.685 2.407 3.156" Properties=species:S:1:pos:R:3 pbc="T T T"
Ac -2.888 -2.211 2.961
S 0.000 0.000 0.000
Tb -1.825 -1.873 -0.703
Tb 0.779 -1.542 2.085
Tb -1.842 1.203 1.578
```

formation energy without anion corrections = -0.67 eV/atom
symmetry = Pm-3m (221)

---

Entry 14:
Material: GaAsIrBr2
Method: DFT, PBE
State: relaxed

Structure (extended XYZ):
```
5
Lattice="-0.535 4.540 -1.835 -3.318 1.021 3.494 3.785 1.698 3.098" Properties=species:S:1:pos:R:3 pbc="T T T"
Br -1.659 0.511 1.747
Br -0.267 2.270 -0.917
As 1.892 0.849 1.549
Ir -0.034 3.630 2.379
Ga 0.000 0.000 0.000
```

formation energy without anion corrections = 1.11 eV/atom
symmetry = P4/mmm (123)

---

Entry 15:
Material: MgNi4Pt
Method: DFT, PBE
State: relaxed

Structure (extended XYZ):
```
6
Lattice="1.031 -4.634 -0.220 -3.065 -3.200 1.719 -2.398 -2.829 -2.972" Properties=species:S:1:pos:R:3 pbc="T T T"
Pt -3.323 -7.998 -1.105
Ni -1.663 -4.003 -0.553
Ni -2.859 -5.414 -2.035
Ni -3.191 -5.599 0.304
Ni -1.149 -6.314 -0.663
Mg 0.000 0.000 0.000
```

symmetry = F-43m (216)
E_form = -0.17 eV per atom

---

Entry 16:
Material: AcLaGeAu
Method: DFT, PBE
State: relaxed

Structure (extended XYZ):
```
4
Lattice="-4.042 -3.415 -1.274 -0.332 -2.070 -5.023 1.056 -5.272 -0.846" Properties=species:S:1:pos:R:3 pbc="T T T"
Ge -0.829 -2.689 -1.786
Ac 0.000 0.000 0.000
La -1.659 -5.378 -3.571
Au -2.488 -8.068 -5.357
```

symmetry = F-43m (216)
E_form = -0.71 eV per atom

---

Entry 17:
Material: Y5IrSe4
Method: DFT, PBE
State: relaxed

Structure (extended XYZ):
```
10
Lattice="4.032 0.000 -0.568 -0.080 4.031 -0.568 0.051 0.052 14.949" Properties=species:S:1:pos:R:3 pbc="T T T"
Y 2.813 2.869 5.369
Y 3.630 3.703 11.171
Y 1.976 2.016 -0.568
Y 1.190 1.214 8.444
Y 0.372 0.380 2.642
Se 1.601 1.633 11.359
Se 0.788 0.804 5.590
Se 3.215 3.279 8.223
Se 2.402 2.450 2.454
Ir 0.000 0.000 0.000
```

formation energy without anion corrections = -1.56 eV/atom
symmetry = I4/mmm (139)

---

Entry 18:
Material: Cs2PaAlSe5
Method: DFT, PBE
State: relaxed

Structure (extended XYZ):
```
18
Lattice="4.247 0.000 0.000 -2.123 10.453 0.001 0.000 0.002 15.465" Properties=species:S:1:pos:R:3 pbc="T T T"
Se 2.124 9.133 7.992
Se 0.000 1.320 0.261
Se 2.123 4.126 2.198
Se 2.123 3.960 13.895
Se 2.123 0.255 12.391
Se 0.000 10.199 4.656
Se 0.000 6.495 6.162
Se 0.000 6.328 9.930
Se 2.124 3.661 7.832
Se 0.000 6.792 0.099
Cs 2.123 7.973 2.838
Cs 2.124 7.903 12.789
Cs 0.000 2.552 5.054
Cs 0.000 2.482 10.574
Pa 2.123 6.243 8.121
Pa 0.000 4.210 0.389
Al 0.000 8.948 6.551
Al 2.123 1.508 14.285
```

formation energy without anion corrections = -1.23 eV/atom
symmetry = Cmc2_1 (36)

---

Entry 19:
Material: NiAgP2
Method: DFT, PBE
State: relaxed

Structure (extended XYZ):
```
4
Lattice="-5.007 3.412 -0.847 -5.907 0.854 -1.346 -2.976 0.368 3.474" Properties=species:S:1:pos:R:3 pbc="T T T"
P -12.511 4.157 1.243
P -10.397 3.422 1.198
Ni -4.485 1.457 0.613
Ag -7.333 2.549 0.150
```

symmetry = Cm (8)
E_form = -0.02 eV per atom

---

Entry 20:
Material: Ca5Ga2As6
Method: DFT, PBE
State: relaxed

Structure (extended XYZ):
```
26
Lattice="4.179 0.000 0.000 0.000 11.438 0.000 0.000 0.000 13.265" Properties=species:S:1:pos:R:3 pbc="T T T"
As 2.089 3.871 10.880
As 2.089 9.590 9.018
As 0.000 5.954 7.872
As 2.089 1.848 4.248
As 0.000 5.485 5.393
As 0.000 11.204 1.240
As 0.000 9.662 5.347
As 0.000 7.496 11.980
As 0.000 3.942 1.286
As 0.000 0.235 12.025
As 2.089 7.567 2.385
As 0.000 1.777 7.918
Ca 2.089 7.715 6.429
Ca 2.089 1.996 0.204
Ca 2.089 0.000 6.633
Ca 2.089 9.442 13.062
Ca 2.089 5.719 0.000
Ca 2.089 3.723 6.836
Ca 2.089 1.016 9.968
Ca 2.089 10.422 3.297
Ca 2.089 6.735 9.930
Ca 2.089 4.703 3.336
Ga 0.000 9.473 10.443
Ga 0.000 3.754 9.455
Ga 0.000 1.965 2.823
Ga 0.000 7.684 3.810
```

symmetry = Pbam (55)
E_form = -0.95 eV per atom

---

Entry 21:
Material: Sc4Co7Ge6
Method: DFT, PBE
State: relaxed

Structure (extended XYZ):
```
17
Lattice="0.618 -1.557 6.585 -1.555 6.584 -0.634 -4.931 -3.769 -2.765" Properties=species:S:1:pos:R:3 pbc="T T T"
Sc -2.466 -1.884 -1.383
Sc -0.778 3.292 -0.317
Sc -2.934 0.629 1.593
Sc 0.309 -0.778 3.292
Co -2.090 3.217 2.125
Co -3.778 -1.959 1.060
Co -2.391 -1.406 3.397
Co -3.478 2.664 -0.212
Co -4.321 0.076 -0.745
Co -1.547 1.182 3.930
Co 0.000 0.000 0.000
Ge -4.430 1.922 -2.322
Ge -2.946 -3.637 2.608
Ge -2.057 0.893 -1.078
Ge -0.297 1.594 1.887
Ge -1.368 -1.689 1.211
Ge -0.640 3.433 4.064
```

symmetry = Im-3m (229)
E_form = -0.61 eV per atom